This record from the Alexandria database describes a relaxed Ac5Sc3H12 crystal. The functional is GGA-PBE.

Values from the calculation:
Calculated volume, Å³ per cell: 1394.4
Calculated total energy, eV per atom: -4.276
Space group: Ia-3d (230)

a b c (Å): 12.1899 12.1899 12.1899
angles (deg): 109.47 109.47 109.47
Fractional positions:
Ac: 0.0000 0.0000 0.0000
Ac: 0.0000 0.0000 0.5000
Ac: 0.0000 0.5000 0.0000
Ac: 0.0000 0.5000 0.5000
Ac: 0.1250 0.7500 0.8750
Ac: 0.1250 0.8750 0.2500
Ac: 0.2500 0.1250 0.8750
Ac: 0.2500 0.6250 0.3750
Ac: 0.3750 0.2500 0.6250
Ac: 0.3750 0.6250 0.7500
Ac: 0.5000 0.0000 0.0000
Ac: 0.5000 0.0000 0.5000
Ac: 0.5000 0.5000 0.0000
Ac: 0.5000 0.5000 0.5000
Ac: 0.6250 0.3750 0.2500
Ac: 0.6250 0.7500 0.3750
Ac: 0.7500 0.3750 0.6250
Ac: 0.7500 0.8750 0.1250
Ac: 0.8750 0.1250 0.7500
Ac: 0.8750 0.2500 0.1250
Sc: 0.1250 0.2500 0.3750
Sc: 0.1250 0.3750 0.7500
Sc: 0.2500 0.3750 0.1250
Sc: 0.2500 0.8750 0.6250
Sc: 0.3750 0.1250 0.2500
Sc: 0.3750 0.7500 0.1250
Sc: 0.6250 0.2500 0.8750
Sc: 0.6250 0.8750 0.7500
Sc: 0.7500 0.1250 0.3750
Sc: 0.7500 0.6250 0.8750
Sc: 0.8750 0.6250 0.2500
Sc: 0.8750 0.7500 0.6250
H: 0.0296 0.7154 0.6484
H: 0.0296 0.8142 0.3812
H: 0.0670 0.2154 0.1858
H: 0.0670 0.3516 0.8812
H: 0.1188 0.6858 0.4704
H: 0.1188 0.9330 0.6484
H: 0.1484 0.2154 0.5296
H: 0.1484 0.4330 0.6188
H: 0.1858 0.0670 0.2154
H: 0.1858 0.6188 0.9704
H: 0.2154 0.1858 0.0670
H: 0.2154 0.5296 0.1484
H: 0.2846 0.3516 0.9704
H: 0.2846 0.4330 0.3142
H: 0.3142 0.2846 0.4330
H: 0.3142 0.5296 0.8812
H: 0.3516 0.8812 0.0670
H: 0.3516 0.9704 0.2846
H: 0.3812 0.0296 0.8142
H: 0.3812 0.8516 0.5670
H: 0.4330 0.3142 0.2846
H: 0.4330 0.6188 0.1484
H: 0.4704 0.1188 0.6858
H: 0.4704 0.8516 0.7846
H: 0.5296 0.1484 0.2154
H: 0.5296 0.8812 0.3142
H: 0.5670 0.3812 0.8516
H: 0.5670 0.6858 0.7154
H: 0.6188 0.1484 0.4330
H: 0.6188 0.9704 0.1858
H: 0.6484 0.0296 0.7154
H: 0.6484 0.1188 0.9330
H: 0.6858 0.4704 0.1188
H: 0.6858 0.7154 0.5670
H: 0.7154 0.5670 0.6858
H: 0.7154 0.6484 0.0296
H: 0.7846 0.4704 0.8516
H: 0.7846 0.8142 0.9330
H: 0.8142 0.3812 0.0296
H: 0.8142 0.9330 0.7846
H: 0.8516 0.5670 0.3812
H: 0.8516 0.7846 0.4704
H: 0.8812 0.0670 0.3516
H: 0.8812 0.3142 0.5296
H: 0.9330 0.6484 0.1188
H: 0.9330 0.7846 0.8142
H: 0.9704 0.1858 0.6188
H: 0.9704 0.2846 0.3516

---

This record from the Alexandria database describes a relaxed CaMg2Al crystal. The functional is GGA-PBE.

Values from the calculation:
Calculated volume, Å³ per cell: 197.1
Calculated total energy, eV per atom: -2.263
Space group: C2/m (12)
ΔH_f (0 K), meV per atom: -30

a b c (Å): 11.4131 3.2374 5.5506
angles (deg): 90.00 106.01 90.00
Fractional positions:
Ca: 0.0000 0.0000 0.0000
Ca: 0.5000 0.5000 0.0000
Mg: 0.2261 0.0000 0.7265
Mg: 0.2739 0.5000 0.2735
Mg: 0.7261 0.5000 0.7265
Mg: 0.7739 0.0000 0.2735
Al: 0.0000 0.5000 0.5000
Al: 0.5000 0.0000 0.5000

---

Question: What is the formula in the first record?
Answer: Ac5Sc3H12